[1]
{
  "formula": "Li2SmMg",
  "functional": "PBE",
  "state": "optimized geometry",
  "cell": [[3.357, 0.000, 0.000], [0.000, 5.308, 0.000], [0.000, 0.000, 5.308]],
  "species": ["Mg", "Sm", "Li", "Li"],
  "fractional_positions": [[0.500, 0.000, 0.000], [0.500, 0.500, 0.500], [0.000, 0.000, 0.500], [0.000, 0.500, 0.000]],
  "n_ef_per_ev_cell": 3.01,
  "sg": "P4/mmm (123)",
  "vol_a3_per_atom": 23.64,
  "formation_energy_ev_per_atom": 0.103,
  "relative_energy_ev_per_fu": 0.23
}



[2]
{
  "formula": "Li2Sm3Mg9",
  "functional": "PBE",
  "state": "optimized geometry",
  "cell": [[-3.850, 0.437, 3.243], [-2.709, -8.109, 1.813], [3.364, -0.753, 8.031]],
  "species": ["Li", "Li", "Sm", "Sm", "Sm", "Mg", "Mg", "Mg", "Mg", "Mg", "Mg", "Mg", "Mg", "Mg"],
  "fractional_positions": [[0.500, 0.344, 0.656], [0.500, 0.656, 0.344], [0.000, 0.000, 0.000], [0.719, 0.281, 0.281], [0.281, 0.719, 0.719], [0.000, 0.500, 0.500], [0.633, 0.998, 0.737], [0.367, 0.002, 0.263], [0.633, 0.737, 0.998], [0.367, 0.263, 0.002], [0.862, 0.866, 0.411], [0.138, 0.134, 0.589], [0.862, 0.411, 0.866], [0.138, 0.589, 0.134]],
  "n_ef_per_ev_cell": 10.76,
  "sg": "Immm (71)",
  "vol_a3_per_atom": 25.19,
  "formation_energy_ev_per_atom": -0.021
}



[3]
{
  "formula": "LiSmMg",
  "functional": "PBE",
  "state": "optimized geometry",
  "cell": [[-0.191, -3.407, 1.008], [-0.541, -0.970, -3.380], [6.351, 1.618, 0.392]],
  "species": ["Mg", "Sm", "Li"],
  "fractional_positions": [[0.639, 0.639, 0.279], [0.949, 0.949, 0.898], [0.262, 0.262, 0.524]],
  "n_ef_per_ev_cell": 3.12,
  "sg": "I4mm (107)",
  "vol_a3_per_atom": 25.59,
  "formation_energy_ev_per_atom": 0.038,
  "relative_energy_ev_per_fu": 0.21
}



[4]
{
  "formula": "LiSmMg14",
  "functional": "PBE",
  "state": "optimized geometry",
  "cell": [[6.857, -0.015, 0.000], [0.014, 6.857, 0.000], [0.000, 0.000, 8.017]],
  "species": ["Li", "Sm", "Mg", "Mg", "Mg", "Mg", "Mg", "Mg", "Mg", "Mg", "Mg", "Mg", "Mg", "Mg", "Mg", "Mg"],
  "fractional_positions": [[0.375, 0.375, 0.500], [0.875, 0.875, 0.500], [0.875, 0.875, 0.000], [0.375, 0.375, 0.000], [0.875, 0.375, 0.500], [0.875, 0.375, 0.000], [0.375, 0.875, 0.500], [0.375, 0.875, 0.000], [0.619, 0.131, 0.246], [0.619, 0.131, 0.754], [0.131, 0.619, 0.246], [0.131, 0.619, 0.754], [0.619, 0.619, 0.246], [0.619, 0.619, 0.754], [0.131, 0.131, 0.246], [0.131, 0.131, 0.754]],
  "n_ef_per_ev_cell": 5.63,
  "sg": "P4/mmm (123)",
  "vol_a3_per_atom": 23.56,
  "formation_energy_ev_per_atom": -0.015
}



[5]
{
  "formula": "Li3SmMg3",
  "functional": "PBE",
  "state": "optimized geometry",
  "cell": [[-6.648, 2.119, -1.114], [-1.642, -1.642, 6.673], [1.742, 6.537, 2.037]],
  "species": ["Mg", "Mg", "Mg", "Mg", "Mg", "Mg", "Sm", "Sm", "Li", "Li", "Li", "Li", "Li", "Li"],
  "fractional_positions": [[0.000, 0.250, 0.500], [0.000, 0.750, 0.500], [0.500, 0.000, 0.750], [0.750, 0.500, 0.000], [0.500, 0.000, 0.250], [0.250, 0.500, 0.000], [0.500, 0.500, 0.500], [0.000, 0.000, 0.000], [0.250, 0.000, 0.500], [0.000, 0.500, 0.250], [0.500, 0.750, 0.000], [0.750, 0.000, 0.500], [0.000, 0.500, 0.750], [0.500, 0.250, 0.000]],
  "n_ef_per_ev_cell": 11.28,
  "sg": "Pm-3n (223)",
  "vol_a3_per_atom": 25.19,
  "formation_energy_ev_per_atom": 0.409
}



[6]
{
  "formula": "LiSm4Mg5",
  "functional": "PBE",
  "state": "optimized geometry",
  "cell": [[-1.062, 2.370, 2.755], [-3.111, -2.076, 0.587], [9.431, -10.542, 12.703]],
  "species": ["Li", "Sm", "Sm", "Sm", "Sm", "Mg", "Mg", "Mg", "Mg", "Mg"],
  "fractional_positions": [[0.000, 0.000, 0.000], [0.000, 0.000, 0.194], [0.000, 0.000, 0.397], [0.000, 0.000, 0.603], [0.000, 0.000, 0.806], [0.500, 0.500, 0.086], [0.500, 0.500, 0.295], [0.500, 0.500, 0.500], [0.500, 0.500, 0.705], [0.500, 0.500, 0.914]],
  "n_ef_per_ev_cell": 9.53,
  "sg": "P4/mmm (123)",
  "vol_a3_per_atom": 27.26,
  "formation_energy_ev_per_atom": -0.077
}



[7]
{
  "formula": "Li4SmMg5",
  "functional": "PBE",
  "state": "optimized geometry",
  "cell": [[-0.632, 1.519, 3.087], [3.010, -1.276, 1.244], [8.580, 14.831, -5.543]],
  "species": ["Li", "Li", "Li", "Li", "Sm", "Mg", "Mg", "Mg", "Mg", "Mg"],
  "fractional_positions": [[0.000, 0.000, 0.221], [0.000, 0.000, 0.408], [0.000, 0.000, 0.592], [0.000, 0.000, 0.779], [0.000, 0.000, 0.000], [0.500, 0.500, 0.129], [0.500, 0.500, 0.316], [0.500, 0.500, 0.500], [0.500, 0.500, 0.684], [0.500, 0.500, 0.871]],
  "n_ef_per_ev_cell": 6.62,
  "sg": "P4/mmm (123)",
  "vol_a3_per_atom": 22.04,
  "formation_energy_ev_per_atom": -0.054
}



[8]
{
  "formula": "Li2SmMg9",
  "functional": "PBE",
  "state": "optimized geometry",
  "cell": [[6.982, 0.000, 3.214], [3.491, 8.506, 1.607], [-0.066, 0.000, 9.334]],
  "species": ["Li", "Li", "Li", "Li", "Sm", "Sm", "Mg", "Mg", "Mg", "Mg", "Mg", "Mg", "Mg", "Mg", "Mg", "Mg", "Mg", "Mg", "Mg", "Mg", "Mg", "Mg", "Mg", "Mg"],
  "fractional_positions": [[0.875, 0.250, 0.750], [0.875, 0.750, 0.250], [0.875, 0.250, 0.250], [0.375, 0.750, 0.750], [0.500, 0.000, 0.000], [0.250, 0.500, 0.500], [0.750, 0.500, 0.500], [0.000, 0.000, 0.000], [0.004, 0.921, 0.678], [0.603, 0.079, 0.322], [0.675, 0.178, 0.579], [0.432, 0.822, 0.421], [0.746, 0.822, 0.579], [0.147, 0.178, 0.421], [0.075, 0.921, 0.322], [0.318, 0.079, 0.678], [0.746, 0.579, 0.822], [0.147, 0.421, 0.178], [0.075, 0.322, 0.921], [0.318, 0.678, 0.079], [0.004, 0.678, 0.921], [0.603, 0.322, 0.079], [0.675, 0.579, 0.178], [0.432, 0.421, 0.822]],
  "n_ef_per_ev_cell": 10.59,
  "sg": "I4_1/amd (141)",
  "vol_a3_per_atom": 23.17,
  "formation_energy_ev_per_atom": -0.035
}



[9]
{
  "formula": "Li3SmMg9",
  "functional": "PBE",
  "state": "optimized geometry",
  "cell": [[-1.722, 5.227, -0.138], [-6.738, 0.481, -3.817], [-4.486, 1.585, 6.200]],
  "species": ["Li", "Li", "Li", "Sm", "Mg", "Mg", "Mg", "Mg", "Mg", "Mg", "Mg", "Mg", "Mg"],
  "fractional_positions": [[0.500, 0.500, 0.000], [0.000, 0.000, 0.500], [0.500, 0.000, 0.500], [0.000, 0.000, 0.000], [0.706, 0.790, 0.784], [0.294, 0.210, 0.216], [0.509, 0.210, 0.784], [0.491, 0.790, 0.216], [0.649, 0.348, 0.355], [0.351, 0.652, 0.645], [0.995, 0.652, 0.355], [0.005, 0.348, 0.645], [0.000, 0.500, 0.000]],
  "n_ef_per_ev_cell": 6.68,
  "sg": "C2/m (12)",
  "vol_a3_per_atom": 22.57,
  "formation_energy_ev_per_atom": -0.054
}



[10]
{
  "formula": "Li5SmMg7",
  "functional": "PBE",
  "state": "optimized geometry",
  "cell": [[5.020, 0.000, 2.062], [2.504, 7.267, 1.045], [-0.251, 0.038, 7.753]],
  "species": ["Li", "Li", "Li", "Li", "Li", "Sm", "Mg", "Mg", "Mg", "Mg", "Mg", "Mg", "Mg"],
  "fractional_positions": [[0.501, 0.998, 0.502], [0.999, 0.998, 0.502], [0.501, 0.502, 0.998], [0.999, 0.502, 0.998], [0.717, 0.783, 0.783], [0.998, 0.002, 0.002], [0.647, 0.353, 0.353], [0.349, 0.651, 0.651], [0.001, 0.350, 0.648], [0.001, 0.648, 0.350], [0.286, 0.214, 0.214], [0.501, 0.791, 0.206], [0.501, 0.206, 0.791]],
  "n_ef_per_ev_cell": 9.38,
  "sg": "Imm2 (44)",
  "vol_a3_per_atom": 22.05,
  "formation_energy_ev_per_atom": -0.041
}



[11]
{
  "formula": "LiSmMg",
  "functional": "PBE",
  "state": "optimized geometry",
  "cell": [[3.273, 0.000, 0.000], [0.000, 5.221, 0.000], [0.000, -2.611, 4.522]],
  "species": ["Mg", "Sm", "Li"],
  "fractional_positions": [[0.500, 0.667, 0.333], [0.000, 0.000, 0.000], [0.499, 0.333, 0.667]],
  "n_ef_per_ev_cell": 2.15,
  "sg": "P-6m2 (187)",
  "vol_a3_per_atom": 25.75,
  "formation_energy_ev_per_atom": -0.005,
  "relative_energy_ev_per_fu": 0.08
}



[12]
{
  "formula": "LiSm3Mg2",
  "functional": "PBE",
  "state": "optimized geometry",
  "cell": [[-0.433, 0.429, 3.791], [3.754, -0.631, 0.500], [2.021, 11.199, -1.036]],
  "species": ["Li", "Sm", "Sm", "Sm", "Mg", "Mg"],
  "fractional_positions": [[0.500, 0.500, 0.500], [0.000, 0.000, 0.000], [0.000, 0.000, 0.668], [0.000, 0.000, 0.332], [0.500, 0.500, 0.834], [0.500, 0.500, 0.166]],
  "n_ef_per_ev_cell": 5.60,
  "sg": "P4/mmm (123)",
  "vol_a3_per_atom": 28.08,
  "formation_energy_ev_per_atom": -0.030
}



- Number 6 is which compound?
  LiSm4Mg5



- Number 8 is which compound?
  Li2SmMg9



- Which formula does entry 6 have?
  LiSm4Mg5